Record 1
10
Lattice="6.257 0.000 0.000 0.000 5.798 0.000 -3.118 0.000 9.089" Properties=species:S:1:pos:R:3 comment="GGA-PBE PmNdEr2Th, optimized geometry" space_group="P2_1/m (11)" e_form_ev_per_atom=0.042 pbc="T T T"
Pm 0.482 1.450 2.700
Pm 2.657 4.349 6.389
Nd 0.473 1.450 6.400
Nd 2.667 4.349 2.689
Er -2.539 1.450 8.204
Er -0.515 4.349 4.599
Er 3.654 1.450 4.490
Er 5.679 4.349 0.885
Th -0.519 4.349 8.252
Th 3.658 1.450 0.837

Record 2
12
Lattice="3.107 -5.379 0.000 3.107 5.379 0.000 -2.078 0.000 11.535" Properties=species:S:1:pos:R:3 comment="GGA-PBE PmNd3Er6Th2, optimized geometry" space_group="C2/m (12)" e_form_ev_per_atom=0.023 pbc="T T T"
Pm 0.000 0.000 0.000
Nd 2.068 3.591 5.768
Nd 2.068 0.000 5.768
Nd 2.068 -3.591 5.768
Er 1.050 1.819 2.831
Er 0.024 0.000 8.700
Er 1.050 -1.819 2.831
Er 3.085 1.819 8.704
Er 4.112 0.000 2.835
Er 3.085 -1.819 8.704
Th 3.107 1.792 0.000
Th 3.107 -1.792 0.000

Record 3
20
Lattice="4.648 -7.567 0.000 4.648 7.567 0.000 -1.634 0.000 9.835" Properties=species:S:1:pos:R:3 comment="GGA-PBE Pm2Nd6ErTh, optimized geometry" space_group="C2/c (15)" e_form_ev_per_atom=0.143 pbc="T T T"
Pm 2.168 0.691 0.460
Pm 1.351 -0.691 5.377
Pm 6.312 0.691 4.457
Pm 5.495 -0.691 9.375
Nd 2.434 4.273 1.856
Nd 3.090 4.819 5.464
Nd 3.756 4.819 9.288
Nd 3.123 1.564 3.739
Nd 6.045 4.273 3.061
Nd 5.357 1.564 1.179
Nd 2.306 -1.564 8.656
Nd 1.618 -4.273 6.774
Nd 4.540 -1.564 6.096
Nd 3.907 -4.819 0.547
Nd 4.572 -4.819 4.371
Nd 5.229 -4.273 7.979
Er 3.423 1.412 7.376
Er 4.240 -1.412 2.459
Th 4.240 7.257 2.459
Th 3.423 -7.257 7.376

Record 4
18
Lattice="-4.345 4.345 7.706 4.345 -4.345 7.706 4.345 4.345 -7.706" Properties=species:S:1:pos:R:3 comment="GGA-PBE PmNd2Er5Th, optimized geometry" space_group="I4/mcm (140)" e_form_ev_per_atom=0.287 pbc="T T T"
Pm 4.345 0.000 3.853
Pm 0.000 4.345 3.853
Nd 5.356 1.011 0.000
Nd 1.011 3.334 0.000
Nd 3.334 1.011 7.706
Nd -1.011 3.334 7.706
Er 0.000 0.000 0.000
Er 2.496 1.849 -2.147
Er 2.496 -1.849 5.560
Er 2.496 1.849 2.147
Er 2.496 -1.849 9.853
Er 0.000 0.000 7.706
Er 1.849 6.194 -2.147
Er 1.849 2.496 5.560
Er 1.849 6.194 2.147
Er 1.849 2.496 9.853
Th 0.000 0.000 3.853
Th 0.000 0.000 11.559

Record 5
8
Lattice="5.089 0.000 0.000 0.000 5.100 0.000 0.000 0.000 10.257" Properties=species:S:1:pos:R:3 comment="GGA-PBE Pm4NdEr2Th, optimized geometry" space_group="Pmmm (47)" e_form_ev_per_atom=0.035 pbc="T T T"
Pm 0.000 0.000 2.520
Pm 0.000 0.000 7.738
Pm 2.545 2.550 2.532
Pm 2.545 2.550 7.726
Nd 2.545 0.000 5.129
Er 0.000 2.550 5.129
Er 2.545 0.000 0.000
Th 0.000 2.550 0.000

Record 6
18
Lattice="-4.346 4.346 7.672 4.346 -4.346 7.672 4.346 4.346 -7.672" Properties=species:S:1:pos:R:3 comment="GGA-PBE Pm2NdEr5Th, optimized geometry" space_group="I4/mcm (140)" e_form_ev_per_atom=0.287 pbc="T T T"
Pm 5.353 1.007 0.000
Pm 1.007 3.339 0.000
Pm 3.339 1.007 7.672
Pm -1.007 3.339 7.672
Nd 4.346 0.000 3.836
Nd 0.000 4.346 3.836
Er 0.000 0.000 0.000
Er 2.504 1.842 -2.121
Er 2.504 -1.842 5.551
Er 2.504 1.842 2.121
Er 2.504 -1.842 9.794
Er 0.000 0.000 7.672
Er 1.842 6.188 -2.121
Er 1.842 2.504 5.551
Er 1.842 6.188 2.121
Er 1.842 2.504 9.794
Th 0.000 0.000 3.836
Th 0.000 0.000 11.509